[1]
First-principles (PBE) data for an optimized crystal structure of RbNa2Ag, as listed in the Alexandria database.

abc: 12.4987 12.4987 12.4987
angles: 156.28 156.28 33.79
Atoms (fractional coordinates):
Rb (0.0000, 0.0000, 0.0000)
Rb (0.7500, 0.2500, 0.5000)
Na (0.1827, 0.6250, 0.0577)
Na (0.3750, 0.4327, 0.5577)
Na (0.5673, 0.1250, 0.9423)
Na (0.8750, 0.8173, 0.4423)
Ag (0.2500, 0.7500, 0.5000)
Ag (0.5000, 0.5000, 0.0000)

DFT formation energy: 0.148 eV per atom
uncorrected energy: -1.466 eV per atom

---

[2]
First-principles (PBE) data for an optimized crystal structure of Cd2AgSn, as listed in the Alexandria database.

abc: 4.1794 8.4180 5.5905
angles: 90.00 109.10 90.00
Atoms (fractional coordinates):
Cd (0.1419, 0.0509, 0.2699)
Cd (0.1419, 0.4491, 0.2699)
Cd (0.8581, 0.5509, 0.7301)
Cd (0.8581, 0.9491, 0.7301)
Ag (0.2561, 0.7500, 0.5168)
Ag (0.7439, 0.2500, 0.4832)
Sn (0.4600, 0.2500, 0.9086)
Sn (0.5400, 0.7500, 0.0914)

DFT formation energy: 0.046 eV per atom
uncorrected energy: -2.125 eV per atom

---

[3]
First-principles (PBE) data for an optimized crystal structure of Cs2InAgCl4, as listed in the Alexandria database.

abc: 9.3328 9.3328 9.5186
angles: 120.61 120.61 84.89
Atoms (fractional coordinates):
Cs (0.0000, 0.0000, 0.0000)
Cs (0.0000, 0.0000, 0.5000)
Cs (0.0000, 0.5000, 0.0000)
Cs (0.5000, 0.0000, 0.5000)
In (0.5000, 0.5000, 0.0000)
In (0.5000, 0.5000, 0.5000)
Ag (0.0000, 0.5000, 0.5000)
Ag (0.5000, 0.0000, 0.0000)
Cl (0.2060, 0.3111, 0.5086)
Cl (0.2613, 0.7375, 0.4904)
Cl (0.2625, 0.7387, 0.0096)
Cl (0.3111, 0.2060, 0.0086)
Cl (0.6889, 0.7940, 0.9914)
Cl (0.7375, 0.2613, 0.9904)
Cl (0.7387, 0.2625, 0.5096)
Cl (0.7940, 0.6889, 0.4914)

uncorrected energy: -3.082 eV per atom